Below is a relaxed structure of Fe2SnP3O12, with properties calculated at the PBEsol level.

a = 8.6870 Å, b = 8.6870 Å, c = 8.4047 Å
α = 58.88°, β = 58.88°, γ = 60.00°
Fractional positions:
O1 0.0681 0.2471 0.7803
O2 0.7471 0.5681 0.2803
O3 0.6022 0.8234 0.5626
O4 0.3234 0.1022 0.0626
O5 0.7529 0.0954 0.2197
O6 0.5117 0.3234 0.0626
O7 0.8978 0.4883 0.9374
O8 0.8234 0.0117 0.5626
O9 0.4319 0.5954 0.7197
O10 0.2471 0.9046 0.7803
O11 0.9046 0.0681 0.7803
O12 0.3978 0.1766 0.4374
O13 0.0117 0.6022 0.5626
O14 0.1766 0.9883 0.4374
O15 0.4046 0.7471 0.2803
O16 0.6766 0.8978 0.9374
O17 0.9883 0.3978 0.4374
O18 0.9319 0.7529 0.2197
O19 0.5681 0.4046 0.2803
O20 0.5954 0.2529 0.7197
O21 0.1022 0.5117 0.0626
O22 0.0954 0.9319 0.2197
O23 0.4883 0.6766 0.9374
O24 0.2529 0.4319 0.7197
Fe1 0.8475 0.8475 0.4575
Fe2 0.6525 0.6525 0.0425
Fe3 0.3475 0.3475 0.9575
Fe4 0.1525 0.1525 0.5425
Sn1 0.0000 0.0000 0.0000
Sn2 0.5000 0.5000 0.5000
P1 0.0501 0.4499 0.7500
P2 0.2500 0.9499 0.2500
P3 0.9499 0.5501 0.2500
P4 0.7500 0.0501 0.7500
P5 0.5501 0.2500 0.2500
P6 0.4499 0.7500 0.7500

For the total energy, the calculation gives -7.50 eV per atom. The formation energy (no corrections) comes out at -1.802 eV/atom. For the volume, the calculation gives 12.24 Å³/atom.



Below is a relaxed structure of SrFeP2O7, with properties calculated at the PBEsol level.

a = 5.3619 Å, b = 8.1952 Å, c = 12.6482 Å
α = 90.00°, β = 89.56°, γ = 90.00°
Fractional positions:
Fe1 0.6748 0.1517 0.3950
Fe2 0.3252 0.8483 0.6050
Fe3 0.8252 0.6517 0.1050
Fe4 0.1748 0.3483 0.8950
O1 0.7640 0.6144 0.4534
O2 0.2083 0.6807 0.0954
O3 0.6742 0.8584 0.1512
O4 0.0143 0.0605 0.2031
O5 0.1742 0.6416 0.6512
O6 0.7360 0.1144 0.0466
O7 0.1676 0.5944 0.9022
O8 0.4044 0.3336 0.0274
O9 0.2640 0.8856 0.9534
O10 0.0508 0.3777 0.7322
O11 0.9857 0.9395 0.7969
O12 0.5508 0.1223 0.2322
O13 0.5143 0.4395 0.7031
O14 0.7083 0.8193 0.5954
O15 0.7917 0.3193 0.9046
O16 0.3258 0.1416 0.8488
O17 0.9492 0.6223 0.2678
O18 0.4857 0.5605 0.2969
O19 0.2917 0.1807 0.4046
O20 0.3324 0.0944 0.5978
O21 0.2360 0.3856 0.5466
O22 0.5956 0.6664 0.9726
O23 0.4492 0.8777 0.7678
O24 0.9044 0.1664 0.5274
O25 0.8258 0.3584 0.3488
O26 0.6676 0.9056 0.4022
O27 0.0956 0.8336 0.4726
O28 0.8324 0.4056 0.0978
Sr1 0.7874 0.6588 0.7798
Sr2 0.2874 0.8412 0.2798
Sr3 0.2126 0.3412 0.2202
Sr4 0.7126 0.1588 0.7202
P1 0.3146 0.6971 0.9830
P2 0.7498 0.5372 0.3362
P3 0.7502 0.0372 0.1638
P4 0.1854 0.1971 0.5170
P5 0.2498 0.9628 0.8362
P6 0.2502 0.4628 0.6638
P7 0.8146 0.8029 0.4830
P8 0.6854 0.3029 0.0170

For the total energy, the calculation gives -7.66 eV per atom. The formation energy (no corrections) comes out at -2.289 eV/atom. For the volume, the calculation gives 12.63 Å³/atom.